1.
DFT (PBEsol) results for a geometry-optimized Cs3HfCu structure.

Calculated values
calculated density = 3.29 g/cm3
uncorrected energy = -2.0824 eV per atom
formation energy from the elements = 7.25 eV/f.u.

Lattice parameters (Å, degrees): 6.8646 6.8646 6.8646 90.00 90.00 90.00
With the nearest neighbours (Å) after each atom.
Positions (direct):
Cs1 0.0000 0.0000 0.5000  2 Hf 3.43
Cs2 0.0000 0.5000 0.0000  2 Hf 3.43
Cs3 0.5000 0.0000 0.0000  2 Hf 3.43
Hf1 0.0000 0.0000 0.0000  6 Cs 3.43
Cu1 0.5000 0.5000 0.5000  12 Cs 4.85

2.
DFT (PBEsol) results for a geometry-optimized DyH3 structure.

Calculated values
calculated density = 7.65 g/cm3
uncorrected energy = -4.3724 eV per atom

Lattice parameters (Å, degrees): 6.2169 6.2169 6.4405 90.00 90.00 120.00
With the nearest neighbours (Å) after each atom.
Positions (direct):
Dy1 0.0000 0.3364 0.2500  9 H 2.09-2.28
Dy2 0.0000 0.6636 0.7500  9 H 2.09-2.28
Dy3 0.3364 0.0000 0.2500  9 H 2.09-2.28
Dy4 0.3364 0.3364 0.7500  9 H 2.09-2.28
Dy5 0.6636 0.0000 0.7500  9 H 2.09-2.28
Dy6 0.6636 0.6636 0.2500  9 H 2.09-2.28
H1 0.0000 0.0000 0.2500  3 Dy 2.09, 6 H 2.32
H2 0.0000 0.0000 0.7500  3 Dy 2.09, 6 H 2.32
H3 0.0250 0.3474 0.9058  2 H 2.02-2.25, 2 Dy 2.21-2.22
H4 0.0250 0.6776 0.4058  2 H 2.02-2.25, 2 Dy 2.21-2.22
H5 0.3224 0.3474 0.4058  2 H 2.02-2.25, 2 Dy 2.21-2.22
H6 0.3224 0.9750 0.9058  2 H 2.02-2.25, 2 Dy 2.21-2.22
H7 0.3333 0.6667 0.1766  3 Dy 2.12, 3 H 2.25
H8 0.3333 0.6667 0.6766  3 Dy 2.12, 3 H 2.25
H9 0.3474 0.0250 0.5942  2 H 2.02-2.25, 2 Dy 2.21-2.22
H10 0.3474 0.3224 0.0942  2 H 2.02-2.25, 2 Dy 2.21-2.22
H11 0.6526 0.6776 0.9058  2 H 2.02-2.25, 2 Dy 2.21-2.22
H12 0.6526 0.9750 0.4058  2 H 2.02-2.25, 2 Dy 2.21-2.22
H13 0.6667 0.3333 0.3234  3 Dy 2.12, 3 H 2.25
H14 0.6667 0.3333 0.8234  3 Dy 2.12, 3 H 2.25
H15 0.6776 0.0250 0.0942  2 H 2.02-2.25, 2 Dy 2.21-2.22
H16 0.6776 0.6526 0.5942  2 H 2.02-2.25, 2 Dy 2.21-2.22
H17 0.9750 0.3224 0.5942  2 H 2.02-2.25, 2 Dy 2.21-2.22
H18 0.9750 0.6526 0.0942  2 H 2.02-2.25, 2 Dy 2.21-2.22

3.
DFT (PBEsol) results for a geometry-optimized TiAu3Br structure.

Calculated values
relative energy among the computed polymorphs = 0 meV/atom
calculated density = 9.83 g/cm3
uncorrected energy = -3.5618 eV per atom
uncorrected formation energy = 0.831 eV/atom

Lattice parameters (Å, degrees): 4.9517 4.9517 4.9517 90.00 90.00 90.00
With the nearest neighbours (Å) after each atom.
Positions (direct):
Ti1 0.0000 0.0000 0.0000  6 Au 2.48
Au1 0.0000 0.0000 0.5000  2 Ti 2.48
Au2 0.0000 0.5000 0.0000  2 Ti 2.48
Au3 0.5000 0.0000 0.0000  2 Ti 2.48
Br1 0.5000 0.5000 0.5000  12 Au 3.50

4.
DFT (PBEsol) results for a geometry-optimized CsLi2Cl3 structure.

Calculated values
calculated density = 2.97 g/cm3
uncorrected energy = -3.6900 eV per atom
uncorrected formation energy = -1.873 eV/atom

Lattice parameters (Å, degrees): 4.5131 5.1132 12.2528 90.00 90.00 90.00
With the nearest neighbours (Å) after each atom.
Positions (direct):
Cs1 0.0000 0.0000 0.0000  8 Cl 3.41-3.60, 2 Li 3.76
Cs2 0.5000 0.5000 0.5000  8 Cl 3.41-3.60, 2 Li 3.76
Li1 0.0000 0.0000 0.3073  5 Cl 2.36-2.59
Li2 0.0000 0.0000 0.6927  5 Cl 2.36-2.59
Li3 0.5000 0.5000 0.1927  5 Cl 2.36-2.59
Li4 0.5000 0.5000 0.8073  5 Cl 2.36-2.59
Cl1 0.0000 0.0000 0.5000  2 Li 2.36
Cl2 0.0000 0.5000 0.2711  4 Li 2.45-2.59
Cl3 0.0000 0.5000 0.7289  4 Li 2.45-2.59
Cl4 0.5000 0.0000 0.2289  4 Li 2.45-2.59
Cl5 0.5000 0.0000 0.7711  4 Li 2.45-2.59
Cl6 0.5000 0.5000 0.0000  2 Li 2.36

5.
DFT (PBEsol) results for a geometry-optimized TeOsCl2 structure.

Calculated values
relative energy among the computed polymorphs = 788 meV/atom
calculated density = 8.74 g/cm3
uncorrected energy = -3.7662 eV per atom
uncorrected formation energy = 1.173 eV/atom

Lattice parameters (Å, degrees): 5.7789 8.6972 2.9380 90.00 90.00 90.00
With the nearest neighbours (Å) after each atom.
Positions (direct):
Te1 0.0000 0.0000 0.0000  2 Os 2.89, 2 Te 2.94, 8 Cl 3.00
Te2 0.5000 0.5000 0.0000  2 Os 2.89, 2 Te 2.94, 8 Cl 3.00
Os1 0.0000 0.5000 0.0000  2 Te 2.89, 2 Os 2.94, 8 Cl 3.00
Os2 0.5000 0.0000 0.0000  2 Te 2.89, 2 Os 2.94, 8 Cl 3.00
Cl1 0.2500 0.2500 0.5000  4 Cl 2.89-2.94, 4 Os 3.00, 4 Te 3.00
Cl2 0.2500 0.7500 0.5000  4 Cl 2.89-2.94, 4 Te 3.00, 4 Os 3.00
Cl3 0.7500 0.2500 0.5000  4 Cl 2.89-2.94, 4 Os 3.00, 4 Te 3.00
Cl4 0.7500 0.7500 0.5000  4 Cl 2.89-2.94, 4 Os 3.00, 4 Te 3.00

6.
DFT (PBEsol) results for a geometry-optimized AsP2Rh structure.

Calculated values
calculated density = 6.64 g/cm3
uncorrected energy = -6.3230 eV per atom
formation energy from the elements = -0.46 eV/f.u.

Lattice parameters (Å, degrees): 4.9181 4.9181 4.9568 90.00 90.00 90.00
With the nearest neighbours (Å) after each atom.
Positions (direct):
As1 0.0000 0.0000 0.0000  4 P 2.46, 2 Rh 2.48
As2 0.5000 0.5000 0.5000  4 P 2.46, 2 Rh 2.48
P1 0.0000 0.5000 0.0000  2 Rh 2.46, 2 As 2.46, 2 P 2.48
P2 0.0000 0.5000 0.5000  2 As 2.46, 2 Rh 2.46, 2 P 2.48
P3 0.5000 0.0000 0.0000  2 Rh 2.46, 2 As 2.46, 2 P 2.48
P4 0.5000 0.0000 0.5000  2 As 2.46, 2 Rh 2.46, 2 P 2.48
Rh1 0.0000 0.0000 0.5000  4 P 2.46, 2 As 2.48
Rh2 0.5000 0.5000 0.0000  4 P 2.46, 2 As 2.48